1.
This record from Alexandria describes Pm3Dy6Ho after structural relaxation. The functional is PBE-GGA.

DFT total energy (eV per formula unit): -44.957

a = 10.920 Å, b = 10.920 Å, c = 6.335 Å
α = 90.00°, β = 90.00°, γ = 119.88°
Atoms (fractional coordinates):
Pm  0.112  0.888  0.500
Pm  0.212  0.438  0.891
Pm  0.438  0.212  0.391
Pm  0.562  0.788  0.891
Pm  0.788  0.562  0.391
Pm  0.888  0.112  0.000
Dy  0.030  0.449  0.298
Dy  0.122  0.212  0.477
Dy  0.212  0.122  0.977
Dy  0.227  0.773  0.078
Dy  0.449  0.030  0.798
Dy  0.460  0.540  0.305
Dy  0.540  0.460  0.805
Dy  0.551  0.970  0.298
Dy  0.773  0.227  0.578
Dy  0.788  0.878  0.477
Dy  0.878  0.788  0.977
Dy  0.970  0.551  0.798
Ho  0.303  0.697  0.560
Ho  0.697  0.303  0.060

---

2.
This record from Alexandria describes Na2PtI6 after structural relaxation. The functional is PBE-GGA.

Formation energy from raw total energies (eV per atom): -0.617

a = 7.674 Å, b = 7.923 Å, c = 13.314 Å
α = 90.00°, β = 123.53°, γ = 90.00°
Atoms (fractional coordinates):
Na  0.215  0.175  0.197
Na  0.215  0.325  0.697
Na  0.785  0.675  0.303
Na  0.785  0.825  0.803
Pt  0.500  0.000  0.000
Pt  0.500  0.500  0.500
I  0.157  0.560  0.274
I  0.157  0.940  0.774
I  0.316  0.665  0.597
I  0.316  0.835  0.097
I  0.332  0.204  0.509
I  0.332  0.296  0.009
I  0.668  0.704  0.991
I  0.668  0.796  0.491
I  0.684  0.165  0.903
I  0.684  0.335  0.403
I  0.843  0.060  0.226
I  0.843  0.440  0.726

---

3.
This record from Alexandria describes CrNiP2 after structural relaxation. The functional is PBE-GGA.

DFT total energy (eV per formula unit): -26.843

a = 2.910 Å, b = 2.910 Å, c = 5.436 Å
α = 90.00°, β = 90.00°, γ = 90.00°
Atoms (fractional coordinates):
Cr  0.000  0.000  0.000
Ni  0.000  0.000  0.500
P  0.500  0.500  0.240
P  0.500  0.500  0.760

---

4.
This record from Alexandria describes AsPIrCl2 after structural relaxation. The functional is PBE-GGA.

Formation energy from raw total energies (eV per atom): 1.200

a = 4.620 Å, b = 4.620 Å, c = 5.378 Å
α = 90.00°, β = 90.00°, γ = 90.00°
Atoms (fractional coordinates):
As  0.000  0.000  0.000
P  0.000  0.000  0.500
Ir  0.500  0.500  0.500
Cl  0.000  0.500  0.000
Cl  0.500  0.000  0.000

---

5.
This record from Alexandria describes Mg2Co2Te after structural relaxation. The functional is PBE-GGA.

Formation energy from raw total energies (eV per atom): -0.001

a = 6.469 Å, b = 6.469 Å, c = 4.119 Å
α = 90.00°, β = 90.00°, γ = 90.00°
Atoms (fractional coordinates):
Mg  0.160  0.340  0.000
Mg  0.340  0.840  0.000
Mg  0.660  0.160  0.000
Mg  0.840  0.660  0.000
Co  0.128  0.628  0.500
Co  0.372  0.128  0.500
Co  0.628  0.872  0.500
Co  0.872  0.372  0.500
Te  0.000  0.000  0.500
Te  0.500  0.500  0.500

---

6.
This record from Alexandria describes AlSiRh2 after structural relaxation. The functional is PBE-GGA.

Formation energy from raw total energies (eV per atom): -0.655

a = 4.977 Å, b = 4.977 Å, c = 4.977 Å
α = 138.07°, β = 138.07°, γ = 60.80°
Atoms (fractional coordinates):
Al  0.000  0.000  0.000
Si  0.750  0.250  0.500
Rh  0.250  0.750  0.500
Rh  0.500  0.500  0.000

---

7.
This record from Alexandria describes TlNiOs2 after structural relaxation. The functional is PBE-GGA.

DFT total energy (eV per formula unit): -28.552

a = 2.839 Å, b = 3.696 Å, c = 6.031 Å
α = 90.00°, β = 90.00°, γ = 90.00°
Atoms (fractional coordinates):
Tl  0.000  0.000  0.000
Ni  0.500  0.500  0.251
Os  0.000  0.000  0.484
Os  0.500  0.500  0.675

---

8.
This record from Alexandria describes HfRe3Ni after structural relaxation. The functional is PBE-GGA.

DFT total energy (eV per formula unit): -46.868

a = 4.454 Å, b = 4.454 Å, c = 4.454 Å
α = 90.00°, β = 90.00°, γ = 90.00°
Atoms (fractional coordinates):
Hf  0.000  0.000  0.000
Re  0.000  0.500  0.500
Re  0.500  0.000  0.500
Re  0.500  0.500  0.000
Ni  0.500  0.500  0.500

---

9.
This record from Alexandria describes MgPb3Cl after structural relaxation. The functional is PBE-GGA.

Formation energy from raw total energies (eV per atom): 0.213

a = 5.580 Å, b = 5.580 Å, c = 5.580 Å
α = 90.00°, β = 90.00°, γ = 90.00°
Atoms (fractional coordinates):
Mg  0.000  0.000  0.000
Pb  0.000  0.000  0.500
Pb  0.000  0.500  0.000
Pb  0.500  0.000  0.000
Cl  0.500  0.500  0.500